1.
This record from Alexandria describes a geometry-optimized BaLiHg2 structure. The functional is PBE.

Cell and atoms, written as extended XYZ:
```
4
Lattice="-2.251 2.869 4.600 2.251 -2.869 4.600 2.251 2.869 -4.600" Properties=species:S:1:pos:R:3 pbc="T T T"
Ba 0.000 0.000 0.000
Li 0.000 2.869 1.908
Hg 2.251 0.000 2.618
Hg 0.000 0.000 4.847
```

DFT formation energy (eV per atom): -0.30
Space group: No. 44
D(E_F) (states/eV/atom): 0.777
Total moment (μB/f.u.): 0.000
Crystal system: orthorhombic



2.
This record from Alexandria describes a geometry-optimized Ac2HoSc structure. The functional is PBE.

Cell and atoms, written as extended XYZ:
```
4
Lattice="5.526 0.000 0.000 0.000 5.526 0.000 0.000 0.000 4.663" Properties=species:S:1:pos:R:3 pbc="T T T"
Ac 0.000 2.763 0.000
Ac 2.763 0.000 0.000
Ho 0.000 0.000 2.331
Sc 2.763 2.763 2.331
```

DFT formation energy (eV per atom): 0.09
Space group: No. 123
ΔE to the lowest computed polymorph (kJ/mol of formula units): 4
D(E_F) (states/eV/atom): 1.219
Total moment (μB/f.u.): 0.000
Crystal system: tetragonal



3.
This record from Alexandria describes a geometry-optimized Sr2Ni2Hg structure. The functional is PBE.

Cell and atoms, written as extended XYZ:
```
5
Lattice="-2.910 2.910 3.804 2.910 -2.910 3.804 2.910 2.910 -3.804" Properties=species:S:1:pos:R:3 pbc="T T T"
Sr 2.910 0.000 1.902
Sr 0.000 2.910 1.902
Ni 0.000 0.000 1.167
Ni 0.000 0.000 6.441
Hg 0.000 0.000 3.804
```

DFT formation energy (eV per atom): 0.00
Space group: No. 139
D(E_F) (states/eV/atom): 0.785
Total moment (μB/f.u.): 0.000
Crystal system: tetragonal



4.
This record from Alexandria describes a geometry-optimized Y3HoTm3 structure. The functional is PBE.

Cell and atoms, written as extended XYZ:
```
14
Lattice="9.534 0.000 0.000 -4.767 8.257 0.000 0.000 0.000 5.602" Properties=species:S:1:pos:R:3 pbc="T T T"
Y -3.389 6.673 1.401
Y 0.683 1.985 1.401
Y 2.061 0.401 4.202
Y 2.706 7.856 1.401
Y 4.084 6.271 4.202
Y 8.156 1.584 4.202
Ho 0.000 5.505 1.401
Ho 4.767 2.752 4.202
Tm -2.031 5.095 4.202
Tm 1.370 3.951 4.202
Tm 4.107 0.789 1.401
Tm 0.660 7.468 4.202
Tm 3.397 4.306 1.401
Tm 6.798 3.162 1.401
```

DFT formation energy (eV per atom): 0.00
Space group: No. 176
ΔE to the lowest computed polymorph (kJ/mol of formula units): 0
D(E_F) (states/eV/atom): 2.054
Total moment (μB/f.u.): 0.002
Crystal system: hexagonal



5.
This record from Alexandria describes a geometry-optimized Lu2TiAl structure. The functional is PBE.

Cell and atoms, written as extended XYZ:
```
4
Lattice="3.340 0.000 0.000 0.000 3.340 0.000 0.000 0.000 8.092" Properties=species:S:1:pos:R:3 pbc="T T T"
Lu 0.000 0.000 1.980
Lu 0.000 0.000 6.112
Ti 1.670 1.670 4.046
Al 1.670 1.670 0.000
```

DFT formation energy (eV per atom): -0.11
Space group: No. 123
ΔE to the lowest computed polymorph (kJ/mol of formula units): 0
D(E_F) (states/eV/atom): 0.786
Total moment (μB/f.u.): 0.000
Crystal system: tetragonal



6.
This record from Alexandria describes a geometry-optimized TaCuMo2 structure. The functional is PBE.

Cell and atoms, written as extended XYZ:
```
4
Lattice="2.689 0.000 0.000 0.000 2.689 0.000 0.000 0.000 8.663" Properties=species:S:1:pos:R:3 pbc="T T T"
Ta 0.000 0.000 0.000
Cu 0.000 0.000 4.332
Mo 1.344 1.344 2.356
Mo 1.344 1.344 6.308
```

DFT formation energy (eV per atom): 0.18
Space group: No. 123
ΔE to the lowest computed polymorph (kJ/mol of formula units): 41
D(E_F) (states/eV/atom): 0.647
Total moment (μB/f.u.): 0.000
Crystal system: tetragonal